# La2CeOs2

A geometry-optimized La2CeOs2 structure (PBE-GGA, the Alexandria database).

Output
Distance to the lowest polymorph of the same formula: 13 meV per atom
M_tot: 0.000 μB per formula unit
Symmetry: C2/c
Energy of formation: -148 meV/atom
Crystal system: monoclinic

Cell and atoms, written as POSCAR:
```
La2CeOs2
1.0
5.086 -3.048 0.000
5.086 3.048 0.000
-1.557 0.000 8.059
La Ce Os
4 2 4
direct
0.015 0.285 0.153
0.285 0.015 0.653
0.715 0.985 0.347
0.985 0.715 0.847
0.369 0.631 0.250
0.631 0.369 0.750
0.228 0.499 0.492
0.499 0.228 0.992
0.501 0.772 0.008
0.772 0.501 0.508
```